Entry 1:
Entry from the Alexandria database: an optimized crystal structure of Ni2Mo4C (GGA-PBE).

Properties
Calculated volume (Å³ per cell): 362
Theoretical density (g cm⁻³): 9.4
DFT formation energy (eV/atom): -0.1092

a = 7.996 Å, b = 7.996 Å, c = 7.996 Å
α = 60.00°, β = 60.00°, γ = 60.00°
Atoms (fractional coordinates):
Ni 0.333 0.333 0.333
Ni 0.917 0.249 0.917
Ni 0.917 0.917 0.249
Ni 0.333 0.001 0.333
Ni 0.001 0.333 0.333
Ni 0.917 0.917 0.917
Ni 0.333 0.333 0.001
Ni 0.249 0.917 0.917
Mo 0.560 0.940 0.560
Mo 0.125 0.125 0.125
Mo 0.690 0.310 0.310
Mo 0.690 0.310 0.690
Mo 0.310 0.690 0.690
Mo 0.625 0.125 0.125
Mo 0.940 0.940 0.560
Mo 0.940 0.560 0.940
Mo 0.940 0.560 0.560
Mo 0.310 0.310 0.690
Mo 0.310 0.690 0.310
Mo 0.125 0.125 0.625
Mo 0.560 0.560 0.940
Mo 0.690 0.690 0.310
Mo 0.125 0.625 0.125
Mo 0.560 0.940 0.940
C 0.625 0.625 0.625
C 0.125 0.625 0.625
C 0.625 0.125 0.625
C 0.625 0.625 0.125

---

Entry 2:
Entry from the Alexandria database: an optimized crystal structure of Ni5Mo4C2 (GGA-PBE).

Properties
Calculated volume (Å³ per cell): 130
Theoretical density (g cm⁻³): 9.0
DFT formation energy (eV/atom): 0.1579

a = 2.724 Å, b = 6.419 Å, c = 7.422 Å
α = 90.10°, β = 90.00°, γ = 90.00°
Atoms (fractional coordinates):
Ni 0.000 0.518 0.328
Ni 0.000 0.821 0.837
Ni 0.000 0.179 0.163
Ni 0.000 0.500 0.000
Ni 0.000 0.482 0.672
Mo 0.500 0.793 0.514
Mo 0.500 0.207 0.486
Mo 0.500 0.185 0.860
Mo 0.500 0.815 0.140
C 0.000 0.045 0.664
C 0.000 0.955 0.336

---

Entry 3:
Entry from the Alexandria database: an optimized crystal structure of NiMo3C (GGA-PBE).

Properties
Calculated volume (Å³ per cell): 69
Offset from the most stable computed form (meV per atom): 195
Theoretical density (g cm⁻³): 8.7
DFT formation energy (eV/atom): 0.2083

a = 4.094 Å, b = 4.094 Å, c = 4.094 Å
α = 90.00°, β = 90.00°, γ = 90.00°
Atoms (fractional coordinates):
C 0.000 0.000 0.000
Mo 0.500 0.000 0.000
Mo 0.000 0.500 0.000
Mo 0.000 0.000 0.500
Ni 0.500 0.500 0.500

---

Entry 4:
Entry from the Alexandria database: an optimized crystal structure of Ni2MoC2 (GGA-PBE).

Properties
Calculated volume (Å³ per cell): 49
Offset from the most stable computed form (meV per atom): 0
Theoretical density (g cm⁻³): 8.1
DFT formation energy (eV/atom): 0.8398

a = 3.569 Å, b = 3.569 Å, c = 4.568 Å
α = 67.01°, β = 67.01°, γ = 90.00°
Atoms (fractional coordinates):
C 0.750 0.250 0.500
C 0.250 0.750 0.500
Mo 0.000 0.000 0.000
Ni 0.656 0.656 0.687
Ni 0.344 0.344 0.313